[1]
DFT (PBE) results for crystalline LaNbBi2Br at its relaxed geometry.

a b c (Å): 6.189 6.189 5.171
angles (deg): 90.00 90.00 90.00
Fractional coordinates of all 5 atoms:
La (0.000, 0.000, 0.000)
Nb (0.000, 0.000, 0.500)
Bi (0.000, 0.500, 0.000)
Bi (0.500, 0.000, 0.000)
Br (0.500, 0.500, 0.500)

**Formation energy (no corrections)**: 1.101 eV per atom
**Total DFT energy (no corrections)**: -18.93 eV/cell
**Crystal system**: tetragonal



[2]
DFT (PBE) results for crystalline TbSmTm2 at its relaxed geometry.

a b c (Å): 11.676 11.676 11.676
angles (deg): 17.46 17.46 17.46
Fractional coordinates of all 4 atoms:
Tb (0.000, 0.000, 0.000)
Sm (0.500, 0.500, 0.500)
Tm (0.251, 0.251, 0.251)
Tm (0.749, 0.749, 0.749)

**DFT formation energy**: 0.021 eV/atom
**Total DFT energy (no corrections)**: -18.21 eV/cell
**Crystal system**: trigonal
**Distance to the lowest polymorph of the same formula**: 8 meV/atom



[3]
DFT (PBE) results for crystalline Li2TmPt2 at its relaxed geometry.

a b c (Å): 4.520 4.520 5.172
angles (deg): 115.47 115.47 60.20
Fractional coordinates of all 5 atoms:
Li (0.085, 0.085, 0.250)
Li (0.915, 0.915, 0.750)
Tm (0.500, 0.500, 0.500)
Pt (0.282, 0.282, 0.847)
Pt (0.718, 0.718, 0.153)

**DFT formation energy**: -0.758 eV/atom
**Total DFT energy (no corrections)**: -24.17 eV/cell
**Crystal system**: monoclinic
**Distance to the lowest polymorph of the same formula**: 0 meV/atom



[4]
DFT (PBE) results for crystalline Re2HIr at its relaxed geometry.

a b c (Å): 5.044 5.044 5.044
angles (deg): 105.25 105.25 118.30
Fractional coordinates of all 8 atoms:
Re (0.030, 0.625, 0.905)
Re (0.375, 0.280, 0.405)
Re (0.720, 0.125, 0.095)
Re (0.875, 0.970, 0.595)
H (0.000, 0.000, 0.000)
H (0.750, 0.250, 0.500)
Ir (0.250, 0.750, 0.500)
Ir (0.500, 0.500, 0.000)

**Total DFT energy (no corrections)**: -71.67 eV/cell
**Crystal system**: tetragonal
**Distance to the lowest polymorph of the same formula**: 0 meV/atom



[5]
DFT (PBE) results for crystalline Sm2Y3Ho5 at its relaxed geometry.

a b c (Å): 9.529 9.529 9.429
angles (deg): 108.25 108.25 112.04
Fractional coordinates of all 20 atoms:
Sm (0.015, 0.273, 0.048)
Sm (0.273, 0.015, 0.548)
Sm (0.727, 0.985, 0.452)
Sm (0.985, 0.727, 0.952)
Y (0.019, 0.981, 0.750)
Y (0.221, 0.469, 0.453)
Y (0.469, 0.221, 0.953)
Y (0.531, 0.779, 0.047)
Y (0.779, 0.531, 0.547)
Y (0.981, 0.019, 0.250)
Ho (0.139, 0.390, 0.776)
Ho (0.228, 0.772, 0.750)
Ho (0.274, 0.726, 0.250)
Ho (0.390, 0.139, 0.276)
Ho (0.474, 0.526, 0.250)
Ho (0.526, 0.474, 0.750)
Ho (0.610, 0.861, 0.724)
Ho (0.726, 0.274, 0.750)
Ho (0.772, 0.228, 0.250)
Ho (0.861, 0.610, 0.224)

**DFT formation energy**: 0.201 eV/atom
**Total DFT energy (no corrections)**: -99.42 eV/cell
**Crystal system**: monoclinic



[6]
DFT (PBE) results for crystalline Ac2Sn3IrPd4 at its relaxed geometry.

a b c (Å): 4.511 4.511 11.301
angles (deg): 90.00 90.00 90.00
Fractional coordinates of all 10 atoms:
Ac (0.000, 0.500, 0.234)
Ac (0.500, 0.000, 0.766)
Sn (0.000, 0.000, 0.000)
Sn (0.000, 0.500, 0.626)
Sn (0.500, 0.000, 0.374)
Ir (0.500, 0.500, 0.000)
Pd (0.000, 0.000, 0.500)
Pd (0.000, 0.500, 0.861)
Pd (0.500, 0.000, 0.139)
Pd (0.500, 0.500, 0.500)

**DFT formation energy**: -0.641 eV/atom
**Total DFT energy (no corrections)**: -56.27 eV/cell
**Crystal system**: tetragonal



[7]
DFT (PBE) results for crystalline KCuPO2 at its relaxed geometry.

a b c (Å): 4.223 4.223 4.257
angles (deg): 90.00 90.00 90.00
Fractional coordinates of all 5 atoms:
K (0.000, 0.000, 0.000)
Cu (0.500, 0.500, 0.500)
P (0.500, 0.500, 0.000)
O (0.000, 0.500, 0.500)
O (0.500, 0.000, 0.500)

**Formation energy (no corrections)**: 0.135 eV per atom
**Total DFT energy (no corrections)**: -19.85 eV/cell
**Crystal system**: tetragonal
**Distance to the lowest polymorph of the same formula**: 0 meV/atom



[8]
DFT (PBE) results for crystalline Sr2Hf2Re at its relaxed geometry.

a b c (Å): 6.958 6.958 6.019
angles (deg): 90.00 90.00 90.00
Fractional coordinates of all 10 atoms:
Sr (0.179, 0.321, 0.000)
Sr (0.321, 0.821, 0.000)
Sr (0.679, 0.179, 0.000)
Sr (0.821, 0.679, 0.000)
Hf (0.163, 0.663, 0.500)
Hf (0.337, 0.163, 0.500)
Hf (0.663, 0.837, 0.500)
Hf (0.837, 0.337, 0.500)
Re (0.000, 0.000, 0.500)
Re (0.500, 0.500, 0.500)

**DFT formation energy**: 0.532 eV/atom
**Total DFT energy (no corrections)**: -66.11 eV/cell
**Crystal system**: tetragonal
**Distance to the lowest polymorph of the same formula**: 0 meV/atom



[9]
DFT (PBE) results for crystalline TiZnSnO4 at its relaxed geometry.

a b c (Å): 8.778 20.102 5.338
angles (deg): 90.00 90.00 90.00
Fractional coordinates of all 56 atoms:
Ti (0.192, 0.176, 0.000)
Ti (0.230, 0.427, 0.467)
Ti (0.270, 0.927, 0.967)
Ti (0.308, 0.676, 0.500)
Ti (0.692, 0.324, 0.000)
Ti (0.730, 0.073, 0.467)
Ti (0.770, 0.573, 0.967)
Ti (0.808, 0.824, 0.500)
Zn (0.002, 0.445, 0.973)
Zn (0.190, 0.841, 0.467)
Zn (0.310, 0.341, 0.967)
Zn (0.498, 0.945, 0.473)
Zn (0.502, 0.055, 0.973)
Zn (0.690, 0.659, 0.467)
Zn (0.810, 0.159, 0.967)
Zn (0.998, 0.555, 0.473)
Sn (0.075, 0.274, 0.510)
Sn (0.123, 0.056, 0.620)
Sn (0.377, 0.556, 0.120)
Sn (0.425, 0.774, 0.010)
Sn (0.575, 0.226, 0.510)
Sn (0.623, 0.444, 0.620)
Sn (0.877, 0.944, 0.120)
Sn (0.925, 0.726, 0.010)
O (0.019, 0.136, 0.852)
O (0.074, 0.471, 0.314)
O (0.094, 0.976, 0.920)
O (0.162, 0.190, 0.329)
O (0.162, 0.617, 0.438)
O (0.189, 0.415, 0.800)
O (0.221, 0.258, 0.834)
O (0.247, 0.344, 0.326)
O (0.253, 0.844, 0.826)
O (0.279, 0.758, 0.334)
O (0.311, 0.915, 0.300)
O (0.338, 0.117, 0.938)
O (0.338, 0.690, 0.829)
O (0.406, 0.476, 0.420)
O (0.426, 0.971, 0.814)
O (0.481, 0.636, 0.352)
O (0.519, 0.364, 0.852)
O (0.574, 0.029, 0.314)
O (0.594, 0.524, 0.920)
O (0.662, 0.310, 0.329)
O (0.662, 0.883, 0.438)
O (0.689, 0.085, 0.800)
O (0.721, 0.242, 0.834)
O (0.747, 0.156, 0.326)
O (0.753, 0.656, 0.826)
O (0.779, 0.742, 0.334)
O (0.811, 0.585, 0.300)
O (0.838, 0.383, 0.938)
O (0.838, 0.810, 0.829)
O (0.906, 0.024, 0.420)
O (0.926, 0.529, 0.814)
O (0.981, 0.864, 0.352)

**Formation energy (no corrections)**: -2.031 eV per atom
**Total DFT energy (no corrections)**: -377.76 eV/cell
**Crystal system**: orthorhombic
**Distance to the lowest polymorph of the same formula**: 0 meV/atom



[10]
DFT (PBE) results for crystalline La2Ga3SnPt4 at its relaxed geometry.

a b c (Å): 4.415 4.415 10.598
angles (deg): 90.00 90.00 90.00
Fractional coordinates of all 10 atoms:
La (0.000, 0.500, 0.245)
La (0.500, 0.000, 0.755)
Ga (0.000, 0.500, 0.877)
Ga (0.500, 0.000, 0.123)
Ga (0.500, 0.500, 0.500)
Sn (0.000, 0.000, 0.500)
Pt (0.000, 0.000, 0.000)
Pt (0.000, 0.500, 0.642)
Pt (0.500, 0.000, 0.358)
Pt (0.500, 0.500, 0.000)

**DFT formation energy**: -0.976 eV/atom
**Total DFT energy (no corrections)**: -56.86 eV/cell
**Crystal system**: tetragonal



[11]
DFT (PBE) results for crystalline ZnCd2Ir at its relaxed geometry.

a b c (Å): 10.163 10.163 10.163
angles (deg): 157.69 157.69 31.76
Fractional coordinates of all 8 atoms:
Zn (0.000, 0.000, 0.000)
Zn (0.750, 0.250, 0.500)
Cd (0.131, 0.625, 0.006)
Cd (0.375, 0.381, 0.506)
Cd (0.619, 0.125, 0.994)
Cd (0.875, 0.869, 0.494)
Ir (0.250, 0.750, 0.500)
Ir (0.500, 0.500, 0.000)

**DFT formation energy**: 0.337 eV/atom
**Total DFT energy (no corrections)**: -21.23 eV/cell
**Crystal system**: tetragonal



[12]
DFT (PBE) results for crystalline Be2CoSi at its relaxed geometry.

a b c (Å): 3.395 3.395 4.609
angles (deg): 90.00 90.00 120.00
Fractional coordinates of all 4 atoms:
Be (0.000, 0.000, 0.000)
Be (0.333, 0.667, 0.763)
Co (0.333, 0.667, 0.255)
Si (0.000, 0.000, 0.499)

**Formation energy (no corrections)**: -0.019 eV per atom
**Total DFT energy (no corrections)**: -20.06 eV/cell
**Crystal system**: trigonal



[13]
DFT (PBE) results for crystalline Pu4TlAgAu2 at its relaxed geometry.

a b c (Å): 9.036 9.036 9.036
angles (deg): 33.62 33.62 33.62
Fractional coordinates of all 8 atoms:
Pu (0.121, 0.121, 0.121)
Pu (0.371, 0.371, 0.371)
Pu (0.629, 0.629, 0.629)
Pu (0.879, 0.879, 0.879)
Tl (0.500, 0.500, 0.500)
Ag (0.000, 0.000, 0.000)
Au (0.247, 0.247, 0.247)
Au (0.753, 0.753, 0.753)

**DFT formation energy**: -0.137 eV/atom
**Total DFT energy (no corrections)**: -70.20 eV/cell
**Crystal system**: trigonal



[14]
DFT (PBE) results for crystalline Pr3Ni2P4 at its relaxed geometry.

a b c (Å): 6.223 6.223 8.438
angles (deg): 115.03 115.03 37.90
Fractional coordinates of all 9 atoms:
Pr (0.000, 0.000, 0.000)
Pr (0.370, 0.370, 0.285)
Pr (0.630, 0.630, 0.715)
Ni (0.313, 0.313, 0.619)
Ni (0.687, 0.687, 0.381)
P (0.103, 0.103, 0.403)
P (0.309, 0.309, 0.890)
P (0.691, 0.691, 0.110)
P (0.897, 0.897, 0.597)

**DFT formation energy**: -1.048 eV/atom
**Total DFT energy (no corrections)**: -56.97 eV/cell
**Crystal system**: monoclinic



[15]
DFT (PBE) results for crystalline CaLaSm2Tl4 at its relaxed geometry.

a b c (Å): 9.642 9.642 9.642
angles (deg): 33.13 33.13 33.13
Fractional coordinates of all 8 atoms:
Ca (0.000, 0.000, 0.000)
La (0.500, 0.500, 0.500)
Sm (0.254, 0.254, 0.254)
Sm (0.746, 0.746, 0.746)
Tl (0.125, 0.125, 0.125)
Tl (0.375, 0.375, 0.375)
Tl (0.625, 0.625, 0.625)
Tl (0.875, 0.875, 0.875)

**DFT formation energy**: -0.396 eV/atom
**Total DFT energy (no corrections)**: -29.00 eV/cell
**Crystal system**: trigonal



[16]
DFT (PBE) results for crystalline Tb3Pm8Y4 at its relaxed geometry.

a b c (Å): 9.348 9.348 6.886
angles (deg): 111.61 111.61 86.75
Fractional coordinates of all 15 atoms:
Tb (0.000, 0.000, 0.000)
Tb (0.000, 0.500, 0.500)
Tb (0.500, 0.000, 0.500)
Pm (0.148, 0.852, 0.500)
Pm (0.231, 0.231, 0.963)
Pm (0.232, 0.232, 0.495)
Pm (0.247, 0.753, 0.000)
Pm (0.753, 0.247, 0.000)
Pm (0.768, 0.768, 0.505)
Pm (0.769, 0.769, 0.037)
Pm (0.852, 0.148, 0.500)
Y (0.000, 0.500, 0.000)
Y (0.500, 0.000, 0.000)
Y (0.500, 0.500, 0.000)
Y (0.500, 0.500, 0.500)

**DFT formation energy**: 0.373 eV/atom
**Total DFT energy (no corrections)**: -72.16 eV/cell
**Crystal system**: monoclinic



[17]
DFT (PBE) results for crystalline PmZn2B2O7 at its relaxed geometry.

a b c (Å): 8.932 8.932 8.932
angles (deg): 32.48 32.48 32.48
Fractional coordinates of all 12 atoms:
Pm (0.000, 0.000, 0.000)
Zn (0.426, 0.426, 0.426)
Zn (0.574, 0.574, 0.574)
B (0.273, 0.273, 0.273)
B (0.727, 0.727, 0.727)
O (0.007, 0.453, 0.717)
O (0.283, 0.547, 0.993)
O (0.453, 0.717, 0.007)
O (0.500, 0.500, 0.500)
O (0.547, 0.993, 0.283)
O (0.717, 0.007, 0.453)
O (0.993, 0.283, 0.547)

**Formation energy (no corrections)**: -2.138 eV per atom
**Total DFT energy (no corrections)**: -81.02 eV/cell
**Crystal system**: trigonal



[18]
DFT (PBE) results for crystalline Tb2Nd5Sc at its relaxed geometry.

a b c (Å): 9.053 9.053 9.053
angles (deg): 119.09 119.09 91.59
Fractional coordinates of all 16 atoms:
Tb (0.144, 0.644, 0.787)
Tb (0.356, 0.144, 0.500)
Tb (0.644, 0.856, 0.500)
Tb (0.856, 0.356, 0.213)
Nd (0.000, 0.000, 0.000)
Nd (0.014, 0.817, 0.500)
Nd (0.183, 0.683, 0.196)
Nd (0.317, 0.514, 0.500)
Nd (0.486, 0.986, 0.804)
Nd (0.500, 0.500, 0.000)
Nd (0.514, 0.014, 0.196)
Nd (0.683, 0.486, 0.500)
Nd (0.817, 0.317, 0.804)
Nd (0.986, 0.183, 0.500)
Sc (0.250, 0.250, 0.000)
Sc (0.750, 0.750, 0.000)

**DFT formation energy**: 0.118 eV/atom
**Total DFT energy (no corrections)**: -76.98 eV/cell
**Crystal system**: tetragonal
**Distance to the lowest polymorph of the same formula**: 64 meV/atom



[19]
DFT (PBE) results for crystalline SmDy2Er2 at its relaxed geometry.

a b c (Å): 5.340 5.340 6.659
angles (deg): 90.00 90.00 113.18
Fractional coordinates of all 5 atoms:
Sm (0.000, 0.000, 0.000)
Dy (0.500, 0.500, 0.256)
Dy (0.500, 0.500, 0.744)
Er (0.166, 0.834, 0.500)
Er (0.834, 0.166, 0.500)

**DFT formation energy**: 0.384 eV/atom
**Total DFT energy (no corrections)**: -21.13 eV/cell
**Crystal system**: orthorhombic
**Distance to the lowest polymorph of the same formula**: 299 meV/atom



[20]
DFT (PBE) results for crystalline Li2SnCCl at its relaxed geometry.

a b c (Å): 4.198 4.198 5.278
angles (deg): 90.00 90.00 90.00
Fractional coordinates of all 5 atoms:
Li (0.000, 0.500, 0.000)
Li (0.500, 0.000, 0.000)
Sn (0.000, 0.000, 0.500)
C (0.500, 0.500, 0.000)
Cl (0.500, 0.500, 0.500)

**Formation energy (no corrections)**: 0.642 eV per atom
**Total DFT energy (no corrections)**: -15.69 eV/cell
**Crystal system**: tetragonal
**Distance to the lowest polymorph of the same formula**: 685 meV/atom



Number 1: V 198.0 Å³ per cell. Number 2: V 125.0 Å³ per cell. Number 3: V 79.6 Å³ per cell. Number 4: V 97.0 Å³ per cell. Number 5: V 657.4 Å³ per cell. Number 6: V 230.0 Å³ per cell. Number 7: V 75.9 Å³ per cell. Number 8: V 291.4 Å³ per cell. Number 9: V 941.8 Å³ per cell. Number 10: V 206.6 Å³ per cell. Number 11: V 151.2 Å³ per cell. Number 12: V 46.0 Å³ per cell. Number 13: V 201.4 Å³ per cell. Number 14: V 179.5 Å³ per cell. Number 15: V 238.3 Å³ per cell. Number 16: V 518.0 Å³ per cell. Number 17: V 182.7 Å³ per cell. Number 18: V 531.7 Å³ per cell. Number 19: V 174.6 Å³ per cell. Number 20: V 93.0 Å³ per cell.